ThVP2 | PBE | relaxed

Output
Fermi-level density of states = 4.428 states/eV/cell
Spin magnetization = 3.0 μB per formula unit
Space group = R-3m, No. 166
Excess energy over the best structure of this formula in the dataset = 693 meV per atom

Cell: 7.8633 7.8633 7.8633 Å, 31.99 31.99 31.99°
With the nearest neighbours (Å) after each atom.
Positions (direct):
Th (0.0000, 0.0000, 0.0000)  6 P 2.87
V (0.5000, 0.5000, 0.5000)  2 P 2.32
P (0.3961, 0.3961, 0.3961)  1 V 2.32
P (0.6039, 0.6039, 0.6039)  1 V 2.32


Er2Ga4Pt3Rh | PBE | relaxed

Output
Fermi-level density of states = 4.706 states/eV/cell
Spin magnetization = 0.0 μB per formula unit
E = -55.95 eV/cell
Space group = P-4m2, No. 115

Cell: 4.1053 4.1053 10.9014 Å, 90.00 90.00 90.00°
With the nearest neighbours (Å) after each atom.
Positions (direct):
Er (0.0000, 0.5000, 0.2437)  8 Ga 3.15-3.47, 6 Pt 3.16-3.36, 2 Rh 3.36
Er (0.5000, 0.0000, 0.7563)  8 Ga 3.15-3.47, 6 Pt 3.16-3.36, 2 Rh 3.36
Ga (0.0000, 0.0000, 0.5000)  4 Pt 2.57
Ga (0.0000, 0.5000, 0.8691)  3 Pt 2.47-2.50, 2 Rh 2.50
Ga (0.5000, 0.0000, 0.1309)  3 Pt 2.47-2.50, 2 Rh 2.50
Ga (0.5000, 0.5000, 0.5000)  4 Pt 2.57
Pt (0.0000, 0.0000, 0.0000)  4 Ga 2.50
Pt (0.0000, 0.5000, 0.6424)  5 Ga 2.47-2.57
Pt (0.5000, 0.0000, 0.3576)  5 Ga 2.47-2.57
Rh (0.5000, 0.5000, 0.0000)  4 Ga 2.50


Ta2ZnB2Os5 | PBE | relaxed

Output
Fermi-level density of states = 10.780 states/eV/cell
Spin magnetization = 0.0 μB per formula unit
E = -194.72 eV/cell
Space group = P4/mbm, No. 127

Cell: 9.3698 9.3698 3.0179 Å, 90.00 90.00 90.00°
With the nearest neighbours (Å) after each atom.
Positions (direct):
Ta (0.1780, 0.3220, 0.0000)  3 B 2.60-2.89, 6 Os 2.80-2.83
Ta (0.3220, 0.8220, 0.0000)  3 B 2.60-2.89, 6 Os 2.80-2.83
Ta (0.6780, 0.1780, 0.0000)  3 B 2.60-2.89, 6 Os 2.80-2.83
Ta (0.8220, 0.6780, 0.0000)  3 B 2.60-2.89, 6 Os 2.80-2.83
Zn (0.0000, 0.0000, 0.0000)  8 Os 2.60
Zn (0.5000, 0.5000, 0.0000)  8 Os 2.60
B (0.1256, 0.6256, 0.0000)  6 Os 2.18-2.25
B (0.3744, 0.1256, 0.0000)  6 Os 2.18-2.25
B (0.6256, 0.8744, 0.0000)  6 Os 2.18-2.25
B (0.8744, 0.3744, 0.0000)  6 Os 2.18-2.25
Os (0.0000, 0.5000, 0.5000)  4 B 2.25
Os (0.0698, 0.7846, 0.5000)  2 B 2.18
Os (0.2154, 0.0698, 0.5000)  2 B 2.18
Os (0.2846, 0.5698, 0.5000)  2 B 2.18
Os (0.4302, 0.2846, 0.5000)  2 B 2.18
Os (0.5000, 0.0000, 0.5000)  4 B 2.25
Os (0.5698, 0.7154, 0.5000)  2 B 2.18
Os (0.7154, 0.4302, 0.5000)  2 B 2.18
Os (0.7846, 0.9302, 0.5000)  2 B 2.18
Os (0.9302, 0.2154, 0.5000)  2 B 2.18